(1)
Material: PuZnH2
Method: DFT, PBE-GGA
State: optimized geometry

Summary:
V   165.9 Å³/cell
Uncorrected energy   -22.74 eV/f.u.

Cell: 3.8281 3.8281 13.0713 Å, 90.00 90.00 120.00°
Closest atoms and distances in Å follow each position.
Space group R-3m (No. 166, hexagonal axes)
Inequivalent atoms, fractional coordinates:
Pu 0.0000 0.0000 0.0000  6 H 2.21
Zn 0.0000 0.0000 0.5000  2 H 2.11
H 0.0000 0.0000 0.3382  1 Zn 2.11, 3 Pu 2.21, 3 H 2.21

***

(2)
Material: Pu2ZnH
Method: DFT, PBE-GGA
State: optimized geometry

Summary:
V   70.8 Å³/cell
Distance to the lowest polymorph of the same formula   0.000 eV per atom
Uncorrected energy   -33.22 eV/f.u.

Cell: 3.0489 3.0489 7.6164 Å, 90.00 90.00 90.00°
Closest atoms and distances in Å follow each position.
Space group P4/mmm (No. 123)
Inequivalent atoms, fractional coordinates:
Pu 0.0000 0.0000 0.2086  4 H 2.68
Zn 0.5000 0.5000 0.5000  4 Zn 3.05, 8 Pu 3.09
H 0.5000 0.5000 0.0000  8 Pu 2.68

***

(3)
Material: Pu3Zn5H12
Method: DFT, PBE-GGA
State: optimized geometry

Summary:
V   1717.4 Å³/cell
Uncorrected energy   -90.21 eV/f.u.

Cell: 11.9753 11.9753 11.9753 Å, 90.00 90.00 90.00°
Closest atoms and distances in Å follow each position.
Space group Ia-3d (No. 230)
Inequivalent atoms, fractional coordinates:
Pu 0.0000 0.2500 0.1250  8 H 2.29-2.33
Zn 0.0000 0.0000 0.0000  6 H 2.06
Zn 0.0000 0.2500 0.3750  4 H 1.74
H 0.0307 0.0611 0.6577  1 Zn 1.74

***

(4)
Material: Pu3ZnH6
Method: DFT, PBE-GGA
State: optimized geometry

Summary:
V   473.0 Å³/cell
Uncorrected energy   -66.25 eV/f.u.

Cell: 8.2156 10.8901 5.2867 Å, 90.00 90.00 90.00°
Closest atoms and distances in Å follow each position.
Space group Cmc2_1 (No. 36)
Inequivalent atoms, fractional coordinates:
Pu 0.0000 0.1128 0.0000  7 H 2.21-2.35
Pu 0.1957 0.3875 0.9940  4 H 2.16-2.22
Zn 0.0000 0.3121 0.4790  4 H 2.05-2.28
H 0.0000 0.1029 0.4783  6 H 2.12-2.32, 1 Zn 2.28, 1 Pu 2.35
H 0.0000 0.4737 0.7005  1 Zn 2.11
H 0.1504 0.2306 0.7396  1 Zn 2.05, 3 Pu 2.21-2.25
H 0.1583 0.0027 0.7486  2 H 2.12-2.22, 4 Pu 2.16-2.24

***

(5)
Material: PuZnH4
Method: DFT, PBE-GGA
State: optimized geometry

Summary:
V   119.1 Å³/cell
Uncorrected energy   -29.52 eV/f.u.

Cell: 6.9499 3.3466 5.2221 Å, 90.00 101.40 90.00°
Closest atoms and distances in Å follow each position.
Space group C2/m (No. 12)
Inequivalent atoms, fractional coordinates:
Pu 0.0000 0.0000 0.0000  10 H 2.24-2.34
Zn 0.0000 0.5000 0.5000  2 H 1.70
H 0.1534 0.5000 0.2831  1 Zn 1.70
H 0.1736 0.5000 0.8583  1 Zn 2.02, 1 Pu 2.24, 2 H 2.25

***

(6)
Material: Pu2ZnH
Method: DFT, PBE-GGA
State: optimized geometry

Summary:
V   176.7 Å³/cell
Distance to the lowest polymorph of the same formula   0.303 eV per atom
Uncorrected energy   -32.00 eV/f.u.

Cell: 2.6453 2.6453 29.1549 Å, 90.00 90.00 120.00°
Closest atoms and distances in Å follow each position.
Space group R-3m (No. 166, hexagonal axes)
Inequivalent atoms, fractional coordinates:
Pu 0.0000 0.0000 0.1080  3 H 2.29
Zn 0.0000 0.0000 0.0000  6 Zn 2.65
H 0.0000 0.0000 0.5000  6 Pu 2.29

***

(7)
Material: Pu2ZrH6
Method: DFT, PBE-GGA
State: optimized geometry

Summary:
V   199.5 Å³/cell
Uncorrected energy   -61.15 eV/f.u.

Cell: 11.2156 5.3662 3.4789 Å, 90.00 107.70 90.00°
Closest atoms and distances in Å follow each position.
Space group C2/m (No. 12)
Inequivalent atoms, fractional coordinates:
Pu 0.1582 0.0000 0.1554  8 H 2.28-2.29
Zr 0.0000 0.5000 0.5000  8 H 2.08-2.09
H 0.0000 0.2856 0.0000  2 Zr 2.09, 2 Pu 2.28, 1 H 2.30
H 0.1589 0.2760 0.6561  1 Zr 2.08, 3 Pu 2.28-2.29

***

(8)
Material: PuZrH
Method: DFT, PBE-GGA
State: optimized geometry

Summary:
V   51.2 Å³/cell
Distance to the lowest polymorph of the same formula   0.000 eV per atom
Uncorrected energy   -26.44 eV/f.u.

Cell: 3.2659 3.2659 5.5403 Å, 90.00 90.00 120.00°
Closest atoms and distances in Å follow each position.
Space group P3m1 (No. 156)
Inequivalent atoms, fractional coordinates:
Pu 0.0000 0.0000 0.0000  3 H 2.52
Zr 0.6667 0.3333 0.4864  3 H 2.22
H 0.3333 0.6667 0.6995  3 Zr 2.22

***

(9)
Material: Pu2ZrH
Method: DFT, PBE-GGA
State: optimized geometry

Summary:
V   78.0 Å³/cell
Distance to the lowest polymorph of the same formula   0.000 eV per atom
Uncorrected energy   -40.07 eV/f.u.

Cell: 3.1222 3.1222 7.9979 Å, 90.00 90.00 90.00°
Closest atoms and distances in Å follow each position.
Space group P4/mmm (No. 123)
Inequivalent atoms, fractional coordinates:
Pu 0.0000 0.0000 0.1893  4 H 2.68
Zr 0.5000 0.5000 0.5000  4 Zr 3.12, 8 Pu 3.32
H 0.5000 0.5000 0.0000  8 Pu 2.68

***

(10)
Material: PuZrH3
Method: DFT, PBE-GGA
State: optimized geometry

Summary:
V   229.6 Å³/cell
Uncorrected energy   -34.71 eV/f.u.

Cell: 6.9687 5.3524 6.6781 Å, 90.00 112.84 90.00°
Closest atoms and distances in Å follow each position.
Space group P2_1/c (No. 14)
Inequivalent atoms, fractional coordinates:
Pu 0.1205 0.2412 0.0572  7 H 2.22-2.46
Zr 0.3825 0.7495 0.3740  6 H 2.03-2.13
H 0.0919 0.5672 0.2729  1 Zr 2.11, 2 Pu 2.32-2.36
H 0.3346 0.1179 0.4088  2 Zr 2.03-2.07, 1 Pu 2.22, 1 H 2.24
H 0.3962 0.5185 0.6217  3 Zr 2.04-2.13, 1 H 2.24, 1 Pu 2.27

***

(11)
Material: Pu2ZrH8
Method: DFT, PBE-GGA
State: optimized geometry

Summary:
V   199.4 Å³/cell
Uncorrected energy   -68.38 eV/f.u.

Cell: 3.7073 4.7268 11.3781 Å, 90.00 90.00 90.00°
Closest atoms and distances in Å follow each position.
Space group Immm (No. 71)
Inequivalent atoms, fractional coordinates:
Pu 0.0000 0.0000 0.1754  12 H 2.23-2.38
Zr 0.0000 0.0000 0.5000  8 H 2.03-2.18
H 0.0000 0.2478 0.3546  1 Zr 2.03, 1 H 2.15, 2 Pu 2.23
H 0.0000 0.2585 0.0000  2 Zr 2.18, 1 H 2.28, 2 Pu 2.34
H 0.0000 0.5000 0.1975  6 H 2.15-2.27, 4 Pu 2.35-2.38

***

(12)
Material: Pu2ZrH
Method: DFT, PBE-GGA
State: optimized geometry

Summary:
V   239.9 Å³/cell
Distance to the lowest polymorph of the same formula   0.103 eV per atom
Uncorrected energy   -39.66 eV/f.u.

Cell: 3.1650 3.1650 27.6559 Å, 90.00 90.00 120.00°
Closest atoms and distances in Å follow each position.
Space group R-3m (No. 166, hexagonal axes)
Inequivalent atoms, fractional coordinates:
Pu 0.0000 0.0000 0.1114  3 H 2.38
Zr 0.0000 0.0000 0.0000  2 Pu 3.08, 6 Zr 3.16
H 0.0000 0.0000 0.5000  6 Pu 2.38

***

(13)
Material: Pu3Zr5H12
Method: DFT, PBE-GGA
State: optimized geometry

Summary:
V   1897.7 Å³/cell
Uncorrected energy   -132.70 eV/f.u.

Cell: 12.3806 12.3806 12.3806 Å, 90.00 90.00 90.00°
Closest atoms and distances in Å follow each position.
Space group Ia-3d (No. 230)
Inequivalent atoms, fractional coordinates:
Pu 0.0000 0.2500 0.1250  8 H 2.27
Zr 0.0000 0.0000 0.0000  6 H 2.05
Zr 0.0000 0.2500 0.3750  4 H 2.05
H 0.0122 0.0690 0.6504  2 Zr 2.05, 2 Pu 2.27

***

(14)
Material: PuZr2H4
Method: DFT, PBE-GGA
State: optimized geometry

Summary:
V   361.3 Å³/cell
Uncorrected energy   -47.19 eV/f.u.

Cell: 11.0167 6.3200 6.3490 Å, 90.00 125.17 90.00°
Closest atoms and distances in Å follow each position.
Space group C2/m (No. 12)
Inequivalent atoms, fractional coordinates:
Pu 0.1262 0.0000 0.3769  4 H 2.27-2.28
Zr 0.0000 0.5000 0.0000  6 H 2.07
Zr 0.0000 0.5000 0.5000  6 H 2.07
Zr 0.2500 0.2500 0.0000  6 H 2.07
H 0.0217 0.2922 0.7719  3 Zr 2.07, 1 Pu 2.28
H 0.2275 0.5000 0.1855  3 Zr 2.07, 1 Pu 2.27
H 0.2276 0.5000 0.7698  3 Zr 2.07, 1 Pu 2.28

***

(15)
Material: PuZr2H7
Method: DFT, PBE-GGA
State: optimized geometry

Summary:
V   181.9 Å³/cell
Uncorrected energy   -59.86 eV/f.u.

Cell: 3.3646 3.3646 16.0645 Å, 90.00 90.00 90.00°
Closest atoms and distances in Å follow each position.
Space group I4/mmm (No. 139)
Inequivalent atoms, fractional coordinates:
Pu 0.0000 0.0000 0.0000  12 H 2.33-2.38
Zr 0.0000 0.0000 0.3261  8 H 2.05-2.08
H 0.0000 0.0000 0.5000  8 H 2.33, 4 Pu 2.38
H 0.0000 0.5000 0.1004  2 Zr 2.05
H 0.0000 0.5000 0.2500  4 Zr 2.08

***

(16)
Material: PuZr2H8
Method: DFT, PBE-GGA
State: optimized geometry

Summary:
V   182.1 Å³/cell
Uncorrected energy   -62.57 eV/f.u.

Cell: 3.2480 5.6759 9.8764 Å, 90.00 90.00 90.00°
Closest atoms and distances in Å follow each position.
Space group Immm (No. 71)
Inequivalent atoms, fractional coordinates:
Pu 0.0000 0.0000 0.0000  12 H 2.23-2.34
Zr 0.0000 0.0000 0.3263  10 H 2.09-2.23
H 0.0000 0.2106 0.5000  2 Zr 2.09, 4 H 2.29, 2 Pu 2.31
H 0.0000 0.2699 0.1635  3 Zr 2.09-2.22, 5 H 2.09-2.29, 1 Pu 2.23
H 0.0000 0.5000 0.3291  6 H 2.09-2.23, 2 Zr 2.23, 2 Pu 2.34

***

(17)
Material: PuZrH
Method: DFT, PBE-GGA
State: optimized geometry

Summary:
V   206.1 Å³/cell
Distance to the lowest polymorph of the same formula   0.034 eV per atom
Uncorrected energy   -26.34 eV/f.u.

Cell: 10.5717 3.1376 8.0402 Å, 90.00 129.40 90.00°
Closest atoms and distances in Å follow each position.
Space group C2/m (No. 12)
Inequivalent atoms, fractional coordinates:
Pu 0.1819 0.0000 0.1107  2 H 2.39
Zr 0.0735 0.5000 0.3738  3 H 2.06-2.17
H 0.2224 0.0000 0.6066  3 Zr 2.06-2.17